A plane-wave DFT calculation with PBE was carried out for a relaxed Zn2CrCo crystal.

Computed properties:
crystal system: tetragonal
excess energy over the best structure of this formula in the dataset: 0.0811 eV/atom
size of the total moment: 1.0717 μB per atom

abc: 3.7815 3.7260 3.7260
angles: 90.00 90.00 90.00
Atoms (fractional coordinates):
1 Co 0.5000 0.5000 0.0000
2 Cr 0.5000 0.0000 0.5000
3 Zn 0.0000 0.5000 0.5000
4 Zn 0.0000 0.0000 0.0000

A plane-wave DFT calculation with PBE was carried out for a relaxed Sm2Be4AlPt3 crystal.

Computed properties:
crystal system: tetragonal
calculated total energy: -53.54 eV for the cell shown
size of the total moment: 0.0000 μB per atom

abc: 3.9479 3.9479 10.2303
angles: 90.00 90.00 90.00
Atoms (fractional coordinates):
1 Pt 0.5000 0.0000 0.8793
2 Pt 0.0000 0.0000 0.5000
3 Pt 0.0000 0.5000 0.1207
4 Be 0.5000 0.5000 0.0000
5 Be 0.0000 0.5000 0.3600
6 Be 0.5000 0.0000 0.6400
7 Be 0.0000 0.0000 0.0000
8 Al 0.5000 0.5000 0.5000
9 Sm 0.0000 0.5000 0.7542
10 Sm 0.5000 0.0000 0.2458

A plane-wave DFT calculation with PBE was carried out for a relaxed Ca2ScSi4Pt3 crystal.

Computed properties:
crystal system: tetragonal
formation energy (no corrections): -887.4 meV/atom
size of the total moment: 0.0000 μB per atom

abc: 4.1661 4.1661 10.7284
angles: 90.00 90.00 90.00
Atoms (fractional coordinates):
1 Ca 0.5000 0.0000 0.2433
2 Ca 0.0000 0.5000 0.7567
3 Si 0.0000 0.5000 0.3467
4 Si 0.5000 0.5000 0.0000
5 Si 0.0000 0.0000 0.0000
6 Si 0.5000 0.0000 0.6533
7 Pt 0.0000 0.0000 0.5000
8 Pt 0.5000 0.0000 0.8815
9 Pt 0.0000 0.5000 0.1185
10 Sc 0.5000 0.5000 0.5000

A plane-wave DFT calculation with PBE was carried out for a relaxed BC5 crystal.

Computed properties:
crystal system: monoclinic
excess energy over the best structure of this formula in the dataset: 0.0554 eV/atom
size of the total moment: 0.0000 μB per atom

abc: 2.5199 4.5120 6.3590
angles: 90.48 90.00 90.00
Atoms (fractional coordinates):
1 C 0.5000 0.8530 0.5813
2 C 0.5000 0.1669 0.6653
3 C 0.5000 0.4906 0.2499
4 C 0.0000 0.0030 0.9976
5 C 0.0000 0.3293 0.3325
6 C 0.5000 0.4984 0.0059
7 C 0.0000 0.3249 0.5789
8 C 0.5000 0.1699 0.9125
9 C 0.0000 0.0184 0.2360
10 C 0.0000 0.6649 0.9277
11 B 0.5000 0.8252 0.3364
12 B 0.0000 0.6554 0.6759

A plane-wave DFT calculation with PBE was carried out for a relaxed UTlGeO5 crystal.

Computed properties:
crystal system: monoclinic
formation energy (no corrections): -2188.7 meV/atom
size of the total moment: 0.1250 μB per atom

abc: 6.2196 6.2196 8.1171
angles: 105.50 105.50 105.31
Atoms (fractional coordinates):
1 Tl 0.3309 0.6691 0.2500
2 Tl 0.6691 0.3309 0.7500
3 O 0.2230 0.3806 0.6104
4 O 0.8719 0.2831 0.1154
5 O 0.7169 0.1281 0.3846
6 O 0.3806 0.2230 0.1104
7 O 0.7770 0.6194 0.3896
8 O 0.9432 0.0568 0.7500
9 O 0.2831 0.8719 0.6154
10 O 0.1281 0.7169 0.8846
11 O 0.0568 0.9432 0.2500
12 O 0.6194 0.7770 0.8896
13 Ge 0.6877 0.3123 0.2500
14 Ge 0.3123 0.6877 0.7500
15 U 0.0000 0.0000 0.0000
16 U 0.0000 0.0000 0.5000

A plane-wave DFT calculation with PBE was carried out for a relaxed Zr2TlTe crystal.

Computed properties:
crystal system: monoclinic
excess energy over the best structure of this formula in the dataset: 0.0668 eV/atom
formation energy (no corrections): -283.3 meV/atom
size of the total moment: 0.0000 μB per atom

abc: 5.7337 5.7337 5.0603
angles: 79.30 79.30 35.62
Atoms (fractional coordinates):
1 Te 0.4946 0.4946 0.5843
2 Zr 0.7704 0.7704 0.6651
3 Zr 0.9882 0.9882 0.0771
4 Tl 0.2468 0.2468 0.1736

A plane-wave DFT calculation with PBE was carried out for a relaxed Ce4NdMg crystal.

Computed properties:
crystal system: cubic
calculated total energy: -28.76 eV for the cell shown
size of the total moment: 0.2912 μB per atom

abc: 6.2995 6.2995 6.2995
angles: 60.00 60.00 60.00
Atoms (fractional coordinates):
1 Mg 0.0000 0.0000 0.0000
2 Ce 0.0889 0.6370 0.6370
3 Ce 0.6370 0.0889 0.6370
4 Ce 0.6370 0.6370 0.6370
5 Ce 0.6370 0.6370 0.0889
6 Nd 0.2500 0.2500 0.2500

A plane-wave DFT calculation with PBE was carried out for a relaxed Pa2Al2Tc3 crystal.

Computed properties:
crystal system: monoclinic
calculated total energy: -59.31 eV for the cell shown
size of the total moment: 0.0000 μB per atom

abc: 4.2372 6.2501 5.4289
angles: 99.99 112.97 90.00
Atoms (fractional coordinates):
1 Al 0.1023 0.4067 0.2047
2 Al 0.8977 0.5933 0.7953
3 Pa 0.3697 0.1869 0.7394
4 Pa 0.6303 0.8131 0.2606
5 Tc 0.6915 0.2837 0.3829
6 Tc 0.0000 0.0000 0.0000
7 Tc 0.3085 0.7163 0.6171

A plane-wave DFT calculation with PBE was carried out for a relaxed RbCeS3 crystal.

Computed properties:
crystal system: cubic
excess energy over the best structure of this formula in the dataset: 0.1206 eV/atom
formation energy (no corrections): -1295.0 meV/atom
size of the total moment: 0.0001 μB per atom

abc: 5.3775 5.3775 5.3775
angles: 90.00 90.00 90.00
Atoms (fractional coordinates):
1 S 0.0000 0.5000 0.0000
2 S 0.5000 0.0000 0.0000
3 S 0.0000 0.0000 0.5000
4 Rb 0.5000 0.5000 0.5000
5 Ce 0.0000 0.0000 0.0000

A plane-wave DFT calculation with PBE was carried out for a relaxed Pm6Nd7Y16 crystal.

Computed properties:
crystal system: cubic
calculated total energy: -159.98 eV for the cell shown
size of the total moment: 0.0000 μB per atom

abc: 11.2052 11.2052 11.2052
angles: 60.00 60.00 60.00
Atoms (fractional coordinates):
1 Pm 0.7764 0.2236 0.2236
2 Pm 0.7764 0.2236 0.7764
3 Pm 0.2236 0.7764 0.2236
4 Pm 0.2236 0.2236 0.7764
5 Pm 0.2236 0.7764 0.7764
6 Pm 0.7764 0.7764 0.2236
7 Y 0.5503 0.1499 0.1499
8 Y 0.3863 0.8410 0.3863
9 Y 0.8501 0.8501 0.4497
10 Y 0.1499 0.1499 0.1499
11 Y 0.8410 0.3863 0.3863
12 Y 0.1499 0.1499 0.5503
13 Y 0.4497 0.8501 0.8501
14 Y 0.6137 0.6137 0.1590
15 Y 0.6137 0.1590 0.6137
16 Y 0.6137 0.6137 0.6137
17 Y 0.1590 0.6137 0.6137
18 Y 0.8501 0.8501 0.8501
19 Y 0.3863 0.3863 0.8410
20 Y 0.8501 0.4497 0.8501
21 Y 0.1499 0.5503 0.1499
22 Y 0.3863 0.3863 0.3863
23 Nd 0.0000 0.0000 0.0000
24 Nd 0.5000 0.0000 0.5000
25 Nd 0.0000 0.0000 0.5000
26 Nd 0.5000 0.0000 0.0000
27 Nd 0.5000 0.5000 0.0000
28 Nd 0.0000 0.5000 0.5000
29 Nd 0.0000 0.5000 0.0000

A plane-wave DFT calculation with PBE was carried out for a relaxed La4CrS7 crystal.

Computed properties:
crystal system: hexagonal
formation energy (no corrections): -1755.9 meV/atom
size of the total moment: 0.3267 μB per atom

abc: 10.8453 10.8453 6.7946
angles: 90.00 90.00 120.00
Atoms (fractional coordinates):
1 La 0.8821 0.5777 0.6728
2 La 0.0000 0.0000 0.6808
3 La 0.5777 0.6956 0.1728
4 La 0.1179 0.4223 0.1728
5 La 0.6956 0.1179 0.6728
6 La 0.3044 0.8821 0.1728
7 La 0.0000 0.0000 0.1808
8 La 0.4223 0.3044 0.6728
9 S 0.1264 0.6367 0.4283
10 S 0.6667 0.3333 0.4495
11 S 0.5103 0.8736 0.4283
12 S 0.8736 0.3633 0.9283
13 S 0.4897 0.1264 0.9283
14 S 0.0564 0.8201 0.9298
15 S 0.3333 0.6667 0.9495
16 S 0.8201 0.7636 0.4298
17 S 0.9436 0.1799 0.4298
18 S 0.3633 0.4897 0.4283
19 S 0.1799 0.2364 0.9298
20 S 0.2364 0.0564 0.4298
21 S 0.7636 0.9436 0.9298
22 S 0.6367 0.5103 0.9283
23 Cr 0.3333 0.6667 0.5939
24 Cr 0.6667 0.3333 0.0939

A plane-wave DFT calculation with PBE was carried out for a relaxed LaTa2Zn crystal.

Computed properties:
crystal system: tetragonal
calculated total energy: -28.24 eV for the cell shown
size of the total moment: 0.0000 μB per atom

abc: 3.4778 3.4778 7.0690
angles: 90.00 90.00 90.00
Atoms (fractional coordinates):
1 Zn 0.5000 0.5000 0.2500
2 Ta 0.0000 0.0000 0.4284
3 Ta 0.0000 0.0000 0.0716
4 La 0.5000 0.5000 0.7500

A plane-wave DFT calculation with PBE was carried out for a relaxed BaP2Pd crystal.

Computed properties:
crystal system: cubic
calculated total energy: -17.72 eV for the cell shown
size of the total moment: 0.0000 μB per atom

abc: 4.9643 4.9643 4.9643
angles: 60.00 60.00 60.00
Atoms (fractional coordinates):
1 P 0.7500 0.7500 0.7500
2 P 0.2500 0.2500 0.2500
3 Pd 0.0000 0.0000 0.0000
4 Ba 0.5000 0.5000 0.5000

A plane-wave DFT calculation with PBE was carried out for a relaxed KTmSc4Se8 crystal.

Computed properties:
crystal system: trigonal
formation energy (no corrections): -1583.0 meV/atom
size of the total moment: 0.0000 μB per atom

abc: 8.1579 8.1579 8.3348
angles: 60.70 60.70 60.00
Atoms (fractional coordinates):
1 Sc 0.4837 0.0044 0.5075
2 Sc 0.0044 0.0044 0.5075
3 Sc 0.6270 0.6270 0.1191
4 Sc 0.0044 0.4837 0.5075
5 Se 0.2295 0.2295 0.3114
6 Se 0.2413 0.2413 0.7204
7 Se 0.7544 0.7544 0.2578
8 Se 0.7544 0.2333 0.2578
9 Se 0.7971 0.2413 0.7204
10 Se 0.2333 0.7544 0.2578
11 Se 0.2413 0.7971 0.7204
12 Se 0.7572 0.7572 0.7283
13 K 0.3674 0.3674 0.8978
14 Tm 0.0046 0.0046 0.9861

A plane-wave DFT calculation with PBE was carried out for a relaxed CoPb2Br crystal.

Computed properties:
crystal system: cubic
excess energy over the best structure of this formula in the dataset: 0.4705 eV/atom
formation energy (no corrections): 567.5 meV/atom
size of the total moment: 0.4857 μB per atom

abc: 5.2360 5.2360 5.2360
angles: 60.00 60.00 60.00
Atoms (fractional coordinates):
1 Pb 0.7500 0.7500 0.7500
2 Pb 0.0000 0.0000 0.0000
3 Co 0.2500 0.2500 0.2500
4 Br 0.5000 0.5000 0.5000

A plane-wave DFT calculation with PBE was carried out for a relaxed LaGaPd crystal.

Computed properties:
crystal system: tetragonal
calculated total energy: -15.03 eV for the cell shown
size of the total moment: 0.0463 μB per atom

abc: 3.4716 3.4716 5.9409
angles: 106.99 106.99 90.00
Atoms (fractional coordinates):
1 Pd 0.3181 0.3181 0.6362
2 Ga 0.9159 0.9159 0.8318
3 La 0.6160 0.6160 0.2319

A plane-wave DFT calculation with PBE was carried out for a relaxed GdNbC2 crystal.

Computed properties:
crystal system: trigonal
calculated total energy: -43.96 eV for the cell shown
size of the total moment: 1.7185 μB per atom

abc: 3.3249 3.3249 5.9806
angles: 73.86 73.86 60.00
Atoms (fractional coordinates):
1 Gd 0.5000 0.5000 0.5000
2 Nb 0.0000 0.0000 0.0000
3 C 0.2610 0.2610 0.2171
4 C 0.7390 0.7390 0.7829

A plane-wave DFT calculation with PBE was carried out for a relaxed KTl6Pd3 crystal.

Computed properties:
crystal system: triclinic
calculated total energy: -31.98 eV for the cell shown
size of the total moment: 0.0000 μB per atom

abc: 6.8696 7.1413 7.1550
angles: 86.53 115.21 121.08
Atoms (fractional coordinates):
1 Pd 0.3353 0.7580 0.9760
2 Pd 0.4116 0.0676 0.3184
3 Pd 0.5727 0.2374 0.9982
4 Tl 0.2191 0.9293 0.6096
5 Tl 0.0866 0.5933 0.2347
6 Tl 0.5208 0.5030 0.2385
7 Tl 0.3356 0.4576 0.7114
8 Tl 0.8193 0.0654 0.3305
9 Tl 0.8000 0.4140 0.6967
10 K 0.8990 0.9743 0.8860

A plane-wave DFT calculation with PBE was carried out for a relaxed PmPaGaAu crystal.

Computed properties:
crystal system: cubic
calculated total energy: -21.68 eV for the cell shown
size of the total moment: 0.5089 μB per atom

abc: 5.1669 5.1669 5.1669
angles: 60.00 60.00 60.00
Atoms (fractional coordinates):
1 Pm 0.7500 0.7500 0.7500
2 Pa 0.2500 0.2500 0.2500
3 Ga 0.0000 0.0000 0.0000
4 Au 0.5000 0.5000 0.5000

A plane-wave DFT calculation with PBE was carried out for a relaxed La3Pr2Sm6Sc crystal.

Computed properties:
crystal system: monoclinic
calculated total energy: -58.64 eV for the cell shown
size of the total moment: 0.0000 μB per atom

abc: 6.2982 6.2982 12.0992
angles: 95.01 95.01 120.01
Atoms (fractional coordinates):
1 Sm 0.5901 0.9190 0.7547
2 Sm 0.0810 0.4099 0.2453
3 Sm 0.2483 0.2483 0.7544
4 Sm 0.7517 0.7517 0.2456
5 Sm 0.9190 0.5901 0.7547
6 Sm 0.4099 0.0810 0.2453
7 Sc 0.0000 0.0000 0.0000
8 La 0.8332 0.1668 0.5000
9 La 0.5000 0.5000 0.5000
10 La 0.1668 0.8332 0.5000
11 Pr 0.6665 0.3335 0.0000
12 Pr 0.3335 0.6665 0.0000